Na3Cr3PdO8 | PBE+U | optimized geometry

- calculated volume (Å³ per atom) = 11.592
- total DFT energy (no corrections) (eV/atom) = -6.400

abc: 6.076 6.076 6.473
angles: 118.01 90.00 120.00
Fractional coordinates of all 15 atoms:
O1 0.768 0.537 0.306
O2 0.232 0.463 0.694
O3 0.732 0.463 0.695
O4 0.232 0.962 0.694
O5 0.268 0.537 0.305
O6 0.731 0.962 0.694
O7 0.269 0.038 0.306
O8 0.768 0.038 0.306
Cr1 0.000 0.500 0.500
Cr2 0.500 0.000 0.500
Cr3 0.500 0.500 0.500
Na1 0.500 0.500 0.000
Na2 0.000 0.500 0.000
Na3 0.000 0.000 0.000
Pd1 0.000 0.000 0.500